## Nb8SnN2 (PBE)

Data for an optimized crystal structure of Nb8SnN2.

a = 14.421 Å, b = 6.185 Å, c = 4.402 Å
α = 90.00°, β = 107.67°, γ = 90.00°
Space group C2/m (No. 12)
One atom of each set of equivalent atoms:
Nb (0.104, 0.247, 0.105) (multiplicity 8)
Nb (0.132, 0.000, 0.632) (multiplicity 4)
Nb (0.212, 0.500, 0.712) (multiplicity 4)
Sn (0.000, 0.500, 0.500) (multiplicity 2)
N (0.212, 0.500, 0.212) (multiplicity 4)

Properties
* DOS at the Fermi energy: 19.614 states/eV per cell
* E_form (uncorrected): -0.081 eV/atom
* spin magnetization: 0.00 μB/f.u.
* crystal system: monoclinic


## NbSnN (PBE)

Data for an optimized crystal structure of NbSnN.

a = 3.314 Å, b = 4.207 Å, c = 8.057 Å
α = 90.00°, β = 90.00°, γ = 90.00°
Space group Pmmn (No. 59, origin choice 2)
One atom of each set of equivalent atoms:
Nb (0.250, 0.250, 0.074) (multiplicity 2)
Sn (0.250, 0.750, 0.603) (multiplicity 2)
N (0.250, 0.750, 0.093) (multiplicity 2)

Properties
* DOS at the Fermi energy: 2.006 states/eV per cell
* E_form (uncorrected): -0.439 eV/atom
* spin magnetization: 0.00 μB/f.u.
* crystal system: orthorhombic


## Nb6Sn2N (PBE)

Data for an optimized crystal structure of Nb6Sn2N.

a = 3.287 Å, b = 12.891 Å, c = 7.460 Å
α = 90.00°, β = 90.00°, γ = 90.00°
Space group Amm2 (No. 38)
One atom of each set of equivalent atoms:
Nb (0.000, 0.000, 0.000) (multiplicity 2)
Nb (0.000, 0.107, 0.636) (multiplicity 4)
Nb (0.500, 0.000, 0.360) (multiplicity 2)
Nb (0.500, 0.173, 0.932) (multiplicity 4)
Sn (0.000, 0.175, 0.256) (multiplicity 4)
N (0.500, 0.000, 0.790) (multiplicity 2)

Properties
* DOS at the Fermi energy: 8.800 states/eV per cell
* E_form (uncorrected): -0.161 eV/atom
* spin magnetization: 0.00 μB/f.u.
* crystal system: orthorhombic


## TaNb2SnN (PBE)

Data for an optimized crystal structure of TaNb2SnN.

a = 4.396 Å, b = 4.396 Å, c = 4.195 Å
α = 90.00°, β = 90.00°, γ = 90.00°
Space group P4/mmm (No. 123)
One atom of each set of equivalent atoms:
Ta (0.000, 0.000, 0.000) (multiplicity 1)
Nb (0.000, 0.500, 0.500) (multiplicity 2)
Sn (0.500, 0.500, 0.000) (multiplicity 1)
N (0.000, 0.000, 0.500) (multiplicity 1)

Properties
* DOS at the Fermi energy: 5.534 states/eV per cell
* E_form (uncorrected): -0.412 eV/atom
* spin magnetization: 0.00 μB/f.u.
* crystal system: tetragonal


## Ta2NbSnN (PBE)

Data for an optimized crystal structure of Ta2NbSnN.

a = 4.273 Å, b = 4.273 Å, c = 4.416 Å
α = 90.00°, β = 90.00°, γ = 90.00°
Space group P4/mmm (No. 123)
One atom of each set of equivalent atoms:
Ta (0.000, 0.500, 0.000) (multiplicity 2)
Nb (0.000, 0.000, 0.500) (multiplicity 1)
Sn (0.500, 0.500, 0.500) (multiplicity 1)
N (0.000, 0.000, 0.000) (multiplicity 1)

Properties
* DOS at the Fermi energy: 6.755 states/eV per cell
* E_form (uncorrected): -0.350 eV/atom
* spin magnetization: 0.00 μB/f.u.
* crystal system: tetragonal


## Tb2NbSnN5 (PBE)

Data for an optimized crystal structure of Tb2NbSnN5.

a = 3.301 Å, b = 13.880 Å, c = 10.419 Å
α = 90.00°, β = 90.00°, γ = 90.00°
Space group Cmc2_1 (No. 36)
One atom of each set of equivalent atoms:
Tb (0.000, 0.115, 0.000) (multiplicity 4)
Tb (0.000, 0.134, 0.574) (multiplicity 4)
Nb (0.000, 0.228, 0.302) (multiplicity 4)
Sn (0.000, 0.478, 0.767) (multiplicity 4)
N (0.000, 0.064, 0.362) (multiplicity 4)
N (0.000, 0.280, 0.941) (multiplicity 4)
N (0.000, 0.301, 0.670) (multiplicity 4)
N (0.000, 0.368, 0.303) (multiplicity 4)
N (0.000, 0.497, 0.073) (multiplicity 4)

Properties
* DOS at the Fermi energy: 0.150 states/eV per cell
* E_form (uncorrected): -0.871 eV/atom
* spin magnetization: 0.00 μB/f.u.
* crystal system: orthorhombic


## NbSnTe2N (PBE)

Data for an optimized crystal structure of NbSnTe2N.

a = 5.745 Å, b = 5.745 Å, c = 3.893 Å
α = 90.00°, β = 90.00°, γ = 90.00°
Space group P4/mmm (No. 123)
One atom of each set of equivalent atoms:
Nb (0.000, 0.000, 0.000) (multiplicity 1)
Sn (0.500, 0.500, 0.500) (multiplicity 1)
Te (0.000, 0.500, 0.500) (multiplicity 2)
N (0.500, 0.500, 0.000) (multiplicity 1)

Properties
* DOS at the Fermi energy: 6.702 states/eV per cell
* E_form (uncorrected): 1.084 eV/atom
* spin magnetization: 3.03 μB/f.u.
* crystal system: tetragonal


## NbSnTe2N (PBE)

Data for an optimized crystal structure of NbSnTe2N.

a = 5.655 Å, b = 5.655 Å, c = 3.939 Å
α = 90.00°, β = 90.00°, γ = 90.00°
Space group P4/mmm (No. 123)
One atom of each set of equivalent atoms:
Nb (0.000, 0.000, 0.000) (multiplicity 1)
Sn (0.500, 0.500, 0.500) (multiplicity 1)
Te (0.000, 0.500, 0.000) (multiplicity 2)
N (0.000, 0.000, 0.500) (multiplicity 1)

Properties
* DOS at the Fermi energy: 2.262 states/eV per cell
* E_form (uncorrected): 0.007 eV/atom
* spin magnetization: 0.00 μB/f.u.
* crystal system: tetragonal


## Th2NbSnN5 (PBE)

Data for an optimized crystal structure of Th2NbSnN5.

a = 3.431 Å, b = 14.372 Å, c = 10.564 Å
α = 90.00°, β = 90.00°, γ = 90.00°
Space group Cmc2_1 (No. 36)
One atom of each set of equivalent atoms:
Th (0.000, 0.127, 0.000) (multiplicity 4)
Th (0.000, 0.139, 0.543) (multiplicity 4)
Nb (0.000, 0.232, 0.280) (multiplicity 4)
Sn (0.000, 0.488, 0.758) (multiplicity 4)
N (0.000, 0.074, 0.325) (multiplicity 4)
N (0.000, 0.281, 0.920) (multiplicity 4)
N (0.000, 0.296, 0.646) (multiplicity 4)
N (0.000, 0.372, 0.322) (multiplicity 4)
N (0.000, 0.494, 0.061) (multiplicity 4)

Properties
* DOS at the Fermi energy: 11.460 states/eV per cell
* E_form (uncorrected): -0.910 eV/atom
* spin magnetization: 0.00 μB/f.u.
* crystal system: orthorhombic


## Ti2NbSnN (PBE)

Data for an optimized crystal structure of Ti2NbSnN.

a = 4.169 Å, b = 4.169 Å, c = 4.431 Å
α = 90.00°, β = 90.00°, γ = 90.00°
Space group P4/mmm (No. 123)
One atom of each set of equivalent atoms:
Ti (0.000, 0.500, 0.000) (multiplicity 2)
Nb (0.000, 0.000, 0.500) (multiplicity 1)
Sn (0.500, 0.500, 0.500) (multiplicity 1)
N (0.000, 0.000, 0.000) (multiplicity 1)

Properties
* DOS at the Fermi energy: 5.378 states/eV per cell
* E_form (uncorrected): -0.728 eV/atom
* spin magnetization: 1.74 μB/f.u.
* crystal system: tetragonal


## NbV2SnN (PBE)

Data for an optimized crystal structure of NbV2SnN.

a = 4.050 Å, b = 4.050 Å, c = 4.333 Å
α = 90.00°, β = 90.00°, γ = 90.00°
Space group P4/mmm (No. 123)
One atom of each set of equivalent atoms:
Nb (0.000, 0.000, 0.000) (multiplicity 1)
V (0.000, 0.500, 0.500) (multiplicity 2)
Sn (0.500, 0.500, 0.000) (multiplicity 1)
N (0.000, 0.000, 0.500) (multiplicity 1)

Properties
* DOS at the Fermi energy: 6.352 states/eV per cell
* E_form (uncorrected): -0.451 eV/atom
* spin magnetization: 0.00 μB/f.u.
* crystal system: tetragonal


## Y2NbSnN (PBE)

Data for an optimized crystal structure of Y2NbSnN.

a = 4.921 Å, b = 4.921 Å, c = 4.203 Å
α = 90.00°, β = 90.00°, γ = 90.00°
Space group P4/mmm (No. 123)
One atom of each set of equivalent atoms:
Y (0.000, 0.500, 0.000) (multiplicity 2)
Nb (0.000, 0.000, 0.500) (multiplicity 1)
Sn (0.500, 0.500, 0.500) (multiplicity 1)
N (0.000, 0.000, 0.000) (multiplicity 1)

Properties
* DOS at the Fermi energy: 3.176 states/eV per cell
* E_form (uncorrected): -0.839 eV/atom
* spin magnetization: 0.00 μB/f.u.
* crystal system: tetragonal